1.
Pm6ErTm12: relaxed, GGA-PBE.

Properties
relative energy among the computed polymorphs: 0 meV/atom
volume: 31.87 A^3/atom
E_tot: -84.34 eV per cell
formation energy: 0.1256 eV per atom

abc: 8.587 8.587 8.587
angles: 79.63 79.63 79.63
Sites, in units of the cell vectors:
Tm (0.487, 0.805, 0.487)
Tm (0.863, 0.515, 0.863)
Tm (0.863, 0.863, 0.515)
Tm (0.485, 0.137, 0.137)
Tm (0.515, 0.863, 0.863)
Tm (0.513, 0.513, 0.195)
Tm (0.805, 0.487, 0.487)
Tm (0.137, 0.137, 0.485)
Tm (0.513, 0.195, 0.513)
Tm (0.195, 0.513, 0.513)
Tm (0.487, 0.487, 0.805)
Tm (0.137, 0.485, 0.137)
Pm (0.164, 0.767, 0.767)
Pm (0.836, 0.233, 0.233)
Pm (0.233, 0.233, 0.836)
Pm (0.767, 0.767, 0.164)
Pm (0.233, 0.836, 0.233)
Pm (0.767, 0.164, 0.767)
Er (0.000, 0.000, 0.000)

2.
Na6LiTl2: relaxed, GGA-PBE.

Properties
relative energy among the computed polymorphs: 0 meV/atom
volume: 29.97 A^3/atom
E_tot: -15.23 eV per cell
formation energy: -0.0741 eV per atom

abc: 3.848 6.628 11.587
angles: 106.72 90.00 106.87
Sites, in units of the cell vectors:
Na (0.026, 0.052, 0.339)
Na (0.339, 0.678, 0.111)
Na (0.693, 0.387, 0.601)
Na (0.974, 0.948, 0.661)
Na (0.307, 0.613, 0.399)
Na (0.661, 0.322, 0.889)
Tl (0.643, 0.286, 0.177)
Tl (0.357, 0.714, 0.823)
Li (0.000, 0.000, 0.000)

3.
RbFe2BiPd: relaxed, GGA-PBE.

Properties
volume: 28.52 A^3/atom
E_tot: -22.43 eV per cell
formation energy: 0.9076 eV per atom

abc: 5.155 5.367 5.155
angles: 90.00 90.00 90.00
Sites, in units of the cell vectors:
Fe (0.500, 0.000, 0.000)
Fe (0.000, 0.000, 0.500)
Pd (0.000, 0.500, 0.000)
Bi (0.000, 0.000, 0.000)
Rb (0.500, 0.500, 0.500)

4.
UTi2Al: relaxed, GGA-PBE.

Properties
relative energy among the computed polymorphs: 69 meV/atom
volume: 17.66 A^3/atom
E_tot: -30.79 eV per cell
formation energy: 0.0064 eV per atom

abc: 4.640 4.640 4.640
angles: 60.00 60.00 60.00
Sites, in units of the cell vectors:
U (0.500, 0.500, 0.500)
Ti (0.250, 0.250, 0.250)
Ti (0.750, 0.750, 0.750)
Al (0.000, 0.000, 0.000)

5.
Ce2HoTh: relaxed, GGA-PBE.

Properties
relative energy among the computed polymorphs: 218 meV/atom
volume: 30.75 A^3/atom
E_tot: -22.77 eV per cell
formation energy: 0.2736 eV per atom

abc: 5.582 5.582 5.582
angles: 60.00 60.00 60.00
Sites, in units of the cell vectors:
Ho (0.000, 0.000, 0.000)
Ce (0.250, 0.250, 0.250)
Ce (0.750, 0.750, 0.750)
Th (0.500, 0.500, 0.500)

6.
PrBS3: relaxed, GGA-PBE.

Properties
relative energy among the computed polymorphs: 66 meV/atom
volume: 21.83 A^3/atom
E_tot: -59.59 eV per cell
energy relative to the elements, uncorrected: -1191 meV per atom

abc: 5.405 6.162 7.261
angles: 90.00 115.45 90.00
Sites, in units of the cell vectors:
B (0.547, 0.250, 0.761)
B (0.453, 0.750, 0.239)
Pr (0.846, 0.750, 0.704)
Pr (0.154, 0.250, 0.296)
S (0.083, 0.750, 0.151)
S (0.369, 0.506, 0.687)
S (0.917, 0.250, 0.849)
S (0.369, 0.994, 0.687)
S (0.631, 0.494, 0.313)
S (0.631, 0.006, 0.313)

7.
OsRhIN2: relaxed, GGA-PBE.

Properties
relative energy among the computed polymorphs: 895 meV/atom
volume: 21.32 A^3/atom
E_tot: -27.44 eV per cell
energy relative to the elements, uncorrected: 1869 meV per atom

abc: 3.770 3.770 7.502
angles: 90.00 90.00 90.00
Sites, in units of the cell vectors:
Os (0.500, 0.500, 0.500)
I (0.000, 0.000, 0.500)
N (0.000, 0.500, 0.000)
N (0.500, 0.000, 0.000)
Rh (0.000, 0.000, 0.000)

8.
Er2Zn3Cd: relaxed, GGA-PBE.

Properties
relative energy among the computed polymorphs: 92 meV/atom
volume: 21.79 A^3/atom
E_tot: -15.34 eV per cell
formation energy: -0.2455 eV per atom

abc: 3.640 4.501 8.489
angles: 105.37 102.38 90.00
Sites, in units of the cell vectors:
Er (0.860, 0.360, 0.720)
Er (0.138, 0.138, 0.277)
Zn (0.297, 0.797, 0.594)
Zn (0.698, 0.698, 0.396)
Zn (0.545, 0.545, 0.089)
Cd (0.462, 0.962, 0.923)

9.
SeIBr2: relaxed, GGA-PBE.

Properties
relative energy among the computed polymorphs: 0 meV/atom
volume: 50.71 A^3/atom
E_tot: -8.38 eV per cell
energy relative to the elements, uncorrected: -1 meV per atom

abc: 4.707 6.196 7.736
angles: 76.13 82.10 107.95
Sites, in units of the cell vectors:
Se (0.291, 0.864, 0.559)
I (0.650, 0.300, 0.426)
Br (0.087, 0.845, 0.871)
Br (0.109, 0.821, 0.256)

10.
ScB4Ir: relaxed, GGA-PBE.

Properties
volume: 9.67 A^3/atom
E_tot: -181.37 eV per cell
formation energy: -0.5734 eV per atom

abc: 3.473 5.871 11.385
angles: 90.00 90.00 90.00
Sites, in units of the cell vectors:
B (0.500, 0.478, 0.195)
B (0.500, 0.367, 0.471)
B (0.500, 0.798, 0.188)
B (0.500, 0.133, 0.971)
B (0.500, 0.522, 0.805)
B (0.500, 0.202, 0.812)
B (0.500, 0.298, 0.312)
B (0.500, 0.702, 0.688)
B (0.500, 0.633, 0.529)
B (0.500, 0.385, 0.049)
B (0.500, 0.115, 0.549)
B (0.500, 0.615, 0.951)
B (0.500, 0.867, 0.029)
B (0.500, 0.022, 0.695)
B (0.500, 0.978, 0.305)
B (0.500, 0.885, 0.451)
Sc (0.000, 0.633, 0.352)
Sc (0.000, 0.133, 0.148)
Sc (0.000, 0.867, 0.852)
Sc (0.000, 0.367, 0.648)
Ir (0.000, 0.854, 0.598)
Ir (0.000, 0.646, 0.098)
Ir (0.000, 0.146, 0.402)
Ir (0.000, 0.354, 0.902)

11.
FeAgCl4: relaxed, GGA-PBE.

Properties
volume: 31.42 A^3/atom
E_tot: -45.68 eV per cell
energy relative to the elements, uncorrected: -690 meV per atom

abc: 5.905 5.905 10.812
angles: 90.00 90.00 90.00
Sites, in units of the cell vectors:
Cl (0.286, 0.776, 0.634)
Cl (0.714, 0.224, 0.634)
Cl (0.714, 0.776, 0.866)
Cl (0.224, 0.286, 0.366)
Cl (0.776, 0.714, 0.366)
Cl (0.286, 0.224, 0.866)
Cl (0.776, 0.286, 0.134)
Cl (0.224, 0.714, 0.134)
Ag (0.000, 0.000, 0.500)
Ag (0.000, 0.000, 0.000)
Fe (0.000, 0.500, 0.250)
Fe (0.500, 0.000, 0.750)

12.
Pr2EuTm: relaxed, GGA-PBE.

Properties
relative energy among the computed polymorphs: 42 meV/atom
volume: 35.17 A^3/atom
E_tot: -24.02 eV per cell
formation energy: 0.0709 eV per atom

abc: 5.146 5.229 5.229
angles: 90.00 90.00 90.00
Sites, in units of the cell vectors:
Pr (0.000, 0.000, 0.500)
Pr (0.000, 0.500, 0.000)
Tm (0.500, 0.000, 0.000)
Eu (0.500, 0.500, 0.500)

13.
ErTmNi: relaxed, GGA-PBE.

Properties
relative energy among the computed polymorphs: 59 meV/atom
volume: 24.24 A^3/atom
E_tot: -62.42 eV per cell
formation energy: -0.2627 eV per atom

abc: 6.903 6.619 7.777
angles: 90.00 54.95 90.00
Sites, in units of the cell vectors:
Er (0.879, 0.186, 0.199)
Er (0.121, 0.814, 0.801)
Er (0.379, 0.314, 0.199)
Er (0.621, 0.686, 0.801)
Ni (0.342, 0.040, 0.949)
Ni (0.842, 0.460, 0.949)
Ni (0.658, 0.960, 0.051)
Ni (0.158, 0.540, 0.051)
Tm (0.802, 0.187, 0.697)
Tm (0.302, 0.313, 0.697)
Tm (0.198, 0.813, 0.303)
Tm (0.698, 0.687, 0.303)

14.
ZnRe2Br: relaxed, GGA-PBE.

Properties
relative energy among the computed polymorphs: 184 meV/atom
volume: 16.66 A^3/atom
E_tot: -26.03 eV per cell
energy relative to the elements, uncorrected: 453 meV per atom

abc: 9.065 9.065 9.065
angles: 18.66 18.66 18.66
Sites, in units of the cell vectors:
Zn (0.506, 0.506, 0.506)
Br (0.745, 0.745, 0.745)
Re (0.253, 0.253, 0.253)
Re (0.996, 0.996, 0.996)

15.
Sm3Tm4: relaxed, GGA-PBE.

Properties
volume: 31.53 A^3/atom
E_tot: -31.89 eV per cell
formation energy: 0.0226 eV per atom

abc: 3.552 4.997 12.809
angles: 101.25 97.97 90.00
Sites, in units of the cell vectors:
Sm (0.000, 0.500, 0.000)
Sm (0.857, 0.357, 0.714)
Sm (0.143, 0.643, 0.286)
Tm (0.428, 0.928, 0.856)
Tm (0.285, 0.785, 0.570)
Tm (0.572, 0.072, 0.144)
Tm (0.715, 0.215, 0.430)

16.
SrO: relaxed, GGA-PBE.

Properties
volume: 22.25 A^3/atom
E_tot: -47.26 eV per cell
energy relative to the elements, uncorrected: -2587 meV per atom

abc: 5.625 5.625 5.625
angles: 90.00 90.00 90.00
Sites, in units of the cell vectors:
O (0.750, 0.750, 0.250)
O (0.250, 0.750, 0.750)
O (0.750, 0.250, 0.750)
O (0.250, 0.250, 0.250)
Sr (0.500, 0.000, 0.500)
Sr (0.000, 0.000, 0.000)
Sr (0.000, 0.500, 0.500)
Sr (0.500, 0.500, 0.000)

17.
LaIr3O: relaxed, GGA-PBE.

Properties
volume: 25.37 A^3/atom
E_tot: -23.62 eV per cell
energy relative to the elements, uncorrected: 2570 meV per atom

abc: 5.024 5.024 5.024
angles: 90.00 90.00 90.00
Sites, in units of the cell vectors:
Ir (0.500, 0.000, 0.000)
Ir (0.000, 0.500, 0.000)
Ir (0.000, 0.000, 0.500)
La (0.000, 0.000, 0.000)
O (0.500, 0.500, 0.500)

18.
SrCdTe2: relaxed, GGA-PBE.

Properties
volume: 36.90 A^3/atom
E_tot: -12.86 eV per cell
energy relative to the elements, uncorrected: -995 meV per atom

abc: 4.770 4.387 7.386
angles: 72.76 90.00 90.00
Sites, in units of the cell vectors:
Cd (0.000, 0.436, 0.254)
Te (0.000, 0.078, 0.969)
Te (0.500, 0.330, 0.464)
Sr (0.500, 0.656, 0.813)

19.
La2AsS6: relaxed, GGA-PBE.

Properties
volume: 22.66 A^3/atom
E_tot: -98.11 eV per cell
energy relative to the elements, uncorrected: -1087 meV per atom

abc: 5.639 7.597 9.522
angles: 90.00 90.90 90.00
Sites, in units of the cell vectors:
S (0.353, 0.829, 0.473)
S (0.184, 0.290, 0.469)
S (0.570, 0.476, 0.248)
S (0.316, 0.790, 0.031)
S (0.853, 0.671, 0.973)
S (0.147, 0.329, 0.027)
S (0.930, 0.976, 0.252)
S (0.684, 0.210, 0.969)
S (0.647, 0.171, 0.527)
S (0.430, 0.524, 0.752)
S (0.070, 0.024, 0.748)
S (0.816, 0.710, 0.531)
As (0.000, 0.000, 0.500)
As (0.500, 0.500, 0.000)
La (0.936, 0.396, 0.738)
La (0.436, 0.104, 0.238)
La (0.564, 0.896, 0.762)
La (0.064, 0.604, 0.262)

20.
RbLiUCl5: relaxed, GGA-PBE.

Properties
volume: 33.49 A^3/atom
E_tot: -75.48 eV per cell
energy relative to the elements, uncorrected: -1792 meV per atom

abc: 7.699 7.699 10.311
angles: 103.79 103.79 106.94
Sites, in units of the cell vectors:
Cl (0.623, 0.757, 0.919)
Cl (0.918, 0.082, 0.750)
Cl (0.906, 0.308, 0.115)
Cl (0.094, 0.692, 0.885)
Cl (0.377, 0.243, 0.081)
Cl (0.308, 0.906, 0.615)
Cl (0.757, 0.623, 0.419)
Cl (0.692, 0.094, 0.385)
Cl (0.082, 0.918, 0.250)
Cl (0.243, 0.377, 0.581)
Li (0.690, 0.310, 0.250)
Li (0.310, 0.690, 0.750)
Rb (0.653, 0.347, 0.750)
Rb (0.347, 0.653, 0.250)
U (0.000, 0.000, 0.000)
U (0.000, 0.000, 0.500)

21.
SrZnSbTe2: relaxed, GGA-PBE.

Properties
relative energy among the computed polymorphs: 789 meV/atom
volume: 48.51 A^3/atom
E_tot: -10.94 eV per cell
energy relative to the elements, uncorrected: 484 meV per atom

abc: 6.188 6.188 6.334
angles: 90.00 90.00 90.00
Sites, in units of the cell vectors:
Te (0.000, 0.500, 0.000)
Te (0.500, 0.000, 0.000)
Zn (0.500, 0.500, 0.500)
Sr (0.000, 0.000, 0.000)
Sb (0.000, 0.000, 0.500)

22.
NbV8W3: relaxed, GGA-PBE.

Properties
volume: 14.56 A^3/atom
E_tot: -122.35 eV per cell
formation energy: -0.0395 eV per atom

abc: 4.985 4.985 8.122
angles: 90.00 90.00 120.00
Sites, in units of the cell vectors:
V (0.164, 0.836, 0.247)
V (0.672, 0.836, 0.247)
V (0.503, 0.006, 0.753)
V (0.503, 0.497, 0.753)
V (0.333, 0.667, 0.001)
V (0.164, 0.328, 0.247)
V (0.333, 0.667, 0.500)
V (0.994, 0.497, 0.753)
W (0.667, 0.333, 0.437)
W (0.667, 0.333, 0.061)
W (0.000, 0.000, 0.941)
Nb (0.000, 0.000, 0.561)

23.
K3TmPd2O6: relaxed, GGA-PBE.

Properties
volume: 14.57 A^3/atom
E_tot: -64.76 eV per cell
energy relative to the elements, uncorrected: -1405 meV per atom

abc: 5.818 5.818 6.344
angles: 97.86 97.86 121.94
Sites, in units of the cell vectors:
Pd (0.336, 0.664, 0.000)
Pd (0.664, 0.336, 0.000)
K (0.827, 0.173, 0.500)
K (0.173, 0.827, 0.500)
K (0.500, 0.500, 0.500)
O (0.921, 0.589, 0.819)
O (0.079, 0.411, 0.181)
O (0.411, 0.079, 0.181)
O (0.729, 0.729, 0.195)
O (0.589, 0.921, 0.819)
O (0.271, 0.271, 0.805)
Tm (0.000, 0.000, 0.000)

Computed M_tot (μB/f.u.) in order:
0.000; 0.000; 5.999; 1.756; 2.431; 0.000; 1.960; 0.000; 0.000; 0.000; 4.994; 7.140; 0.000; 0.000; 0.000; 0.000; 3.852; 0.000; 0.000; 3.000; 0.165; 0.000; 2.044